[1]
A plane-wave DFT calculation with PBE-GGA was carried out for a relaxed structure of ScTl2Cr.

abc: 4.453 4.453 10.694
angles: 77.98 77.98 90.00
Element x y z (fractional)
Sc: 0.500 0.500 0.000
Sc: 0.250 0.750 0.500
Cr: 0.000 0.000 0.000
Cr: 0.750 0.250 0.500
Tl: 0.631 0.125 0.250
Tl: 0.119 0.625 0.250
Tl: 0.375 0.369 0.750
Tl: 0.875 0.881 0.750

Values from the calculation:
SG: I-42d, No. 122
ΔE_f, kJ/mol of atoms: 44.9

***

[2]
A plane-wave DFT calculation with PBE-GGA was carried out for a relaxed structure of Sc2TlCr.

abc: 4.942 4.942 4.942
angles: 60.00 60.00 60.00
Element x y z (fractional)
Sc: 0.250 0.250 0.250
Sc: 0.750 0.750 0.750
Cr: 0.000 0.000 0.000
Tl: 0.500 0.500 0.500

Values from the calculation:
SG: Fm-3m, No. 225
ΔE_f, kJ/mol of atoms: 4.1
Excess energy over the best structure of this formula in the dataset, eV/atom: 0.057

***

[3]
A plane-wave DFT calculation with PBE-GGA was carried out for a relaxed structure of ScTlCr3.

abc: 5.094 5.094 5.094
angles: 90.00 90.00 90.00
Element x y z (fractional)
Sc: 0.500 0.500 0.500
Cr: 0.000 0.500 0.000
Cr: 0.000 0.000 0.500
Cr: 0.500 0.000 0.000
Tl: 0.000 0.000 0.000

Values from the calculation:
SG: Pm-3m, No. 221
ΔE_f, kJ/mol of atoms: 143.2
Excess energy over the best structure of this formula in the dataset, eV/atom: 0.000

***

[4]
A plane-wave DFT calculation with PBE-GGA was carried out for a relaxed structure of ScTl2Cr.

abc: 3.524 3.524 7.071
angles: 90.00 90.00 90.00
Element x y z (fractional)
Cr: 0.500 0.500 0.250
Sc: 0.500 0.500 0.750
Tl: 0.000 0.000 0.015
Tl: 0.000 0.000 0.485

Values from the calculation:
SG: P4/mmm, No. 123
ΔE_f, kJ/mol of atoms: 17.0

***

[5]
A plane-wave DFT calculation with PBE-GGA was carried out for a relaxed structure of ScTlCr4.

abc: 5.014 5.014 5.014
angles: 60.00 60.00 60.00
Element x y z (fractional)
Sc: 0.250 0.250 0.250
Tl: 0.000 0.000 0.000
Cr: 0.626 0.626 0.123
Cr: 0.626 0.123 0.626
Cr: 0.626 0.626 0.626
Cr: 0.123 0.626 0.626

Values from the calculation:
SG: F-43m, No. 216
ΔE_f, kJ/mol of atoms: 29.8

***

[6]
A plane-wave DFT calculation with PBE-GGA was carried out for a relaxed structure of ScTl3Cr.

abc: 5.154 5.154 5.154
angles: 90.00 90.00 90.00
Element x y z (fractional)
Sc: 0.500 0.500 0.500
Cr: 0.000 0.000 0.000
Tl: 0.000 0.500 0.000
Tl: 0.000 0.000 0.500
Tl: 0.500 0.000 0.000

Values from the calculation:
SG: Pm-3m, No. 221
ΔE_f, kJ/mol of atoms: 55.9
Excess energy over the best structure of this formula in the dataset, eV/atom: 0.000

***

[7]
A plane-wave DFT calculation with PBE-GGA was carried out for a relaxed structure of ScTlCr.

abc: 4.635 4.635 4.635
angles: 60.00 60.00 60.00
Element x y z (fractional)
Cr: 0.750 0.750 0.750
Sc: 0.000 0.000 0.000
Tl: 0.500 0.500 0.500

Values from the calculation:
SG: F-43m, No. 216
ΔE_f, kJ/mol of atoms: 41.7
Excess energy over the best structure of this formula in the dataset, eV/atom: 0.237

***

[8]
A plane-wave DFT calculation with PBE-GGA was carried out for a relaxed structure of ScTl2Cr.

abc: 4.611 4.609 4.166
angles: 90.00 90.00 90.00
Element x y z (fractional)
Cr: 0.500 0.000 0.500
Sc: 0.000 0.500 0.500
Tl: 0.000 0.000 0.000
Tl: 0.500 0.500 0.000

Values from the calculation:
SG: P4/mmm, No. 123
ΔE_f, kJ/mol of atoms: 16.3

***

[9]
A plane-wave DFT calculation with PBE-GGA was carried out for a relaxed structure of Sc2Tl2Cr.

abc: 7.435 7.435 4.158
angles: 90.00 90.00 90.00
Element x y z (fractional)
Sc: 0.167 0.667 0.500
Sc: 0.667 0.833 0.500
Sc: 0.833 0.333 0.500
Sc: 0.333 0.167 0.500
Cr: 0.000 0.000 0.000
Cr: 0.500 0.500 0.000
Tl: 0.359 0.859 0.000
Tl: 0.859 0.641 0.000
Tl: 0.641 0.141 0.000
Tl: 0.141 0.359 0.000

Values from the calculation:
SG: P4/mbm, No. 127
ΔE_f, kJ/mol of atoms: 7.2

***

[10]
A plane-wave DFT calculation with PBE-GGA was carried out for a relaxed structure of ScTlCr.

abc: 4.774 4.774 3.237
angles: 90.00 90.00 120.00
Element x y z (fractional)
Cr: 0.000 0.000 0.833
Sc: 0.667 0.333 0.334
Tl: 0.333 0.667 0.833

Values from the calculation:
SG: P-6m2, No. 187
ΔE_f, kJ/mol of atoms: 18.8
Excess energy over the best structure of this formula in the dataset, eV/atom: 0.000

***

[11]
A plane-wave DFT calculation with PBE-GGA was carried out for a relaxed structure of ScTl4Cr.

abc: 6.159 6.159 6.159
angles: 60.00 60.00 60.00
Element x y z (fractional)
Sc: 0.000 0.000 0.000
Tl: 0.875 0.375 0.375
Tl: 0.375 0.375 0.875
Tl: 0.375 0.875 0.375
Tl: 0.375 0.375 0.375
Cr: 0.750 0.750 0.750

Values from the calculation:
SG: F-43m, No. 216
ΔE_f, kJ/mol of atoms: 52.2

***

[12]
A plane-wave DFT calculation with PBE-GGA was carried out for a relaxed structure of ScTl2Cr.

abc: 5.077 5.077 5.599
angles: 75.89 75.89 40.92
Element x y z (fractional)
Cr: 0.750 0.750 0.750
Sc: 0.250 0.250 0.250
Tl: 0.008 0.008 0.985
Tl: 0.492 0.492 0.515

Values from the calculation:
SG: C2/m, No. 12
ΔE_f, kJ/mol of atoms: 20.2

***

no.,DFT total energy (eV per atom)
1,-4.71
2,-6.12
3,-6.03
4,-5.00
5,-7.56
6,-4.03
7,-5.68
8,-5.00
9,-5.33
10,-5.91
11,-3.70
12,-4.96